A plane-wave DFT calculation with PBE-GGA was carried out for crystalline CeBeGe2Pd at its relaxed geometry.

Cell lengths 4.1185, 4.1185, 5.9870 Å; angles 110.12, 110.12, 90.00 degrees
Last column: magnetic moment on the atom in μB.
Element x y z (fractional)
Ce (0.0000, 0.0000, 0.0000)  0.64
Be (0.7500, 0.2500, 0.5000)  -0.01
Ge (0.6199, 0.6199, 0.2398)  0.00
Ge (0.3801, 0.3801, 0.7602)  0.00
Pd (0.2500, 0.7500, 0.5000)  0.00

- E_form: -583 meV per atom
- Space-group type: I-4m2
- Final energy: -27.0 eV for the cell shown
- Mass density: 7.50 g/cm³
- M_tot: 0.69 μB/f.u.